A crystal of CrSeN2O relaxed with PBEsol. Source: Alexandria, functional SCAN.

Cell and atoms, written as CIF:
```
data_CrSeN2O
_space_group_name_H-M_alt 'P 1'
_space_group_IT_number 1
_cell_length_a 3.663
_cell_length_b 3.783
_cell_length_c 3.783
_cell_angle_alpha 90.00
_cell_angle_beta 90.00
_cell_angle_gamma 90.00
loop_
_space_group_symop_operation_xyz
'x,y,z'
loop_
_atom_site_label
_atom_site_type_symbol
_atom_site_fract_x
_atom_site_fract_y
_atom_site_fract_z
Se1 Se 0.000 0.000 0.000
N1 N 0.000 0.500 0.000
O1 O 0.500 0.000 0.000
N2 N 0.000 0.000 0.500
Cr1 Cr 0.500 0.500 0.500
```

Results
Its total magnetic moment is 3.10 Bohr magnetons per cell. As for the formation energy (no corrections): 88.6 kJ per mole of atoms. For the total energy, the calculation gives -11.737 eV per atom. Its mass density is 5.5 g/cm³.